[1]
# MnTe4As PBE relaxed
# Crystal system: cubic
# Uncorrected formation energy (eV/atom): 0.82
# Offset from the most stable computed form (meV per atom): 896.7
# Spin magnetization (μB per atom): 0.790
# Calculated density (g/cm3): 6.19
data_MnTe4As
_chemical_formula_sum 'Mn4 Te16 As4'
_symmetry_space_group_name_H-M 'F -4 3 m'
_symmetry_Int_Tables_number 216
_symmetry_space_group_name_Hall 'F -4 2 3'
_cell_length_a 8.825
_cell_length_b 8.825
_cell_length_c 8.825
_cell_angle_alpha 90.00
_cell_angle_beta 90.00
_cell_angle_gamma 90.00
loop_
_atom_site_label
_atom_site_type_symbol
_atom_site_fract_x
_atom_site_fract_y
_atom_site_fract_z
Mn1 Mn 0.000 0.000 0.000
Te1 Te 0.125 0.125 0.625
As1 As 0.250 0.250 0.250

[2]
# NaGePdO4 PBE relaxed
# Crystal system: orthorhombic
# Uncorrected formation energy (eV/atom): -1.21
# Spin magnetization (μB per atom): 0.121
# Calculated density (g/cm3): 5.16
data_NaGePdO4
_chemical_formula_sum 'Na4 Ge4 Pd4 O16'
_symmetry_space_group_name_H-M 'I m m a'
_symmetry_Int_Tables_number 74
_symmetry_space_group_name_Hall '-I 2b 2'
_cell_length_a 5.824
_cell_length_b 6.262
_cell_length_c 9.382
_cell_angle_alpha 90.00
_cell_angle_beta 90.00
_cell_angle_gamma 90.00
loop_
_atom_site_label
_atom_site_type_symbol
_atom_site_fract_x
_atom_site_fract_y
_atom_site_fract_z
Na1 Na 0.000 0.250 0.123
Ge1 Ge 0.250 0.250 0.750
Pd1 Pd 0.000 0.000 0.500
O1 O 0.000 0.046 0.749
O2 O 0.226 0.250 0.542

[3]
# LaPI2N PBE relaxed
# Crystal system: tetragonal
# Uncorrected formation energy (eV/atom): -0.05
# Offset from the most stable computed form (meV per atom): 0.0
# Spin magnetization (μB per atom): 0.041
# Calculated density (g/cm3): 5.68
data_LaPI2N
_chemical_formula_sum 'La1 P1 I2 N1'
_symmetry_space_group_name_H-M 'P 4/m m m'
_symmetry_Int_Tables_number 123
_symmetry_space_group_name_Hall '-P 4 2'
_cell_length_a 6.017
_cell_length_b 6.017
_cell_length_c 3.535
_cell_angle_alpha 90.00
_cell_angle_beta 90.00
_cell_angle_gamma 90.00
loop_
_atom_site_label
_atom_site_type_symbol
_atom_site_fract_x
_atom_site_fract_y
_atom_site_fract_z
La1 La 0.000 0.000 0.000
P1 P 0.500 0.500 0.500
I1 I 0.000 0.500 0.500
N1 N 0.500 0.500 0.000

[4]
# DyAgGe2 PBE relaxed
# Crystal system: tetragonal
# DFT formation energy (eV/atom): -0.40
# Spin magnetization (μB per atom): 0.000
# Calculated density (g/cm3): 8.61
data_DyAgGe2
_chemical_formula_sum 'Dy1 Ag1 Ge2'
_symmetry_space_group_name_H-M 'P 4/m m m'
_symmetry_Int_Tables_number 123
_symmetry_space_group_name_Hall '-P 4 2'
_cell_length_a 4.406
_cell_length_b 4.406
_cell_length_c 4.129
_cell_angle_alpha 90.00
_cell_angle_beta 90.00
_cell_angle_gamma 90.00
loop_
_atom_site_label
_atom_site_type_symbol
_atom_site_fract_x
_atom_site_fract_y
_atom_site_fract_z
Dy1 Dy 0.000 0.000 0.000
Ag1 Ag 0.500 0.500 0.000
Ge1 Ge 0.000 0.500 0.500

[5]
# Mg2NbPt3 PBE relaxed
# Crystal system: tetragonal
# DFT formation energy (eV/atom): -0.80
# Spin magnetization (μB per atom): 0.000
# Calculated density (g/cm3): 12.47
data_Mg2NbPt3
_chemical_formula_sum 'Mg2 Nb1 Pt3'
_symmetry_space_group_name_H-M 'P 4/m m m'
_symmetry_Int_Tables_number 123
_symmetry_space_group_name_Hall '-P 4 2'
_cell_length_a 2.934
_cell_length_b 2.934
_cell_length_c 11.241
_cell_angle_alpha 90.00
_cell_angle_beta 90.00
_cell_angle_gamma 90.00
loop_
_atom_site_label
_atom_site_type_symbol
_atom_site_fract_x
_atom_site_fract_y
_atom_site_fract_z
Mg1 Mg 0.000 0.000 0.160
Nb1 Nb 0.000 0.000 0.500
Pt1 Pt 0.500 0.500 0.000
Pt2 Pt 0.500 0.500 0.329

[6]
# Ce2YRu PBE relaxed
# Crystal system: trigonal
# DFT formation energy (eV/atom): -0.06
# Offset from the most stable computed form (meV per atom): 166.4
# Spin magnetization (μB per atom): 0.037
# Calculated density (g/cm3): 6.85
data_Ce2YRu
_chemical_formula_sum 'Ce6 Y3 Ru3'
_symmetry_space_group_name_H-M 'R 3 m'
_symmetry_Int_Tables_number 160
_symmetry_space_group_name_Hall 'R 3 -2"'
_cell_length_a 3.8486
_cell_length_b 3.8486
_cell_length_c 26.6406
_cell_angle_alpha 90.00
_cell_angle_beta 90.00
_cell_angle_gamma 120.00
loop_
_atom_site_label
_atom_site_type_symbol
_atom_site_fract_x
_atom_site_fract_y
_atom_site_fract_z
Ce1 Ce 0.0000 0.0000 0.0000
Ce2 Ce 0.0000 0.0000 0.2118
Y1 Y 0.0000 0.0000 0.4393
Ru1 Ru 0.0000 0.0000 0.6048

[7]
# CsPaSe4 PBE relaxed
# Crystal system: monoclinic
# Uncorrected formation energy (eV/atom): -1.13
# Offset from the most stable computed form (meV per atom): 0.0
# Spin magnetization (μB per atom): 0.000
# Calculated density (g/cm3): 4.98
data_CsPaSe4
_chemical_formula_sum 'Cs4 Pa4 Se16'
_symmetry_space_group_name_H-M 'C 1 2/m 1'
_symmetry_Int_Tables_number 12
_symmetry_space_group_name_Hall '-C 2y'
_cell_length_a 15.379
_cell_length_b 7.763
_cell_length_c 7.657
_cell_angle_alpha 90.00
_cell_angle_beta 97.32
_cell_angle_gamma 90.00
loop_
_atom_site_label
_atom_site_type_symbol
_atom_site_fract_x
_atom_site_fract_y
_atom_site_fract_z
Cs1 Cs 0.202 0.000 0.188
Pa1 Pa 0.042 0.500 0.268
Se1 Se 0.000 0.264 0.000
Se2 Se 0.077 0.254 0.546
Se3 Se 0.213 0.500 0.272

[8]
# K2HfHgS4 PBE relaxed
# Crystal system: monoclinic
# Uncorrected formation energy (eV/atom): -1.09
# Spin magnetization (μB per atom): 0.000
# Calculated density (g/cm3): 4.82
data_K2HfHgS4
_chemical_formula_sum 'K2 Hf1 Hg1 S4'
_symmetry_space_group_name_H-M 'P 1 2/m 1'
_symmetry_Int_Tables_number 10
_symmetry_space_group_name_Hall '-P 2y'
_cell_length_a 7.295
_cell_length_b 3.853
_cell_length_c 7.692
_cell_angle_alpha 90.00
_cell_angle_beta 111.18
_cell_angle_gamma 90.00
loop_
_atom_site_label
_atom_site_type_symbol
_atom_site_fract_x
_atom_site_fract_y
_atom_site_fract_z
K1 K 0.000 0.000 0.000
K2 K 0.500 0.500 0.000
Hf1 Hf 0.000 0.500 0.500
Hg1 Hg 0.500 0.000 0.500
S1 S 0.196 0.000 0.710
S2 S 0.247 0.500 0.325

[9]
# Re2HgSe PBE relaxed
# Crystal system: tetragonal
# Uncorrected formation energy (eV/atom): 1.04
# Offset from the most stable computed form (meV per atom): 717.4
# Spin magnetization (μB per atom): 0.000
# Calculated density (g/cm3): 15.82
data_Re2HgSe
_chemical_formula_sum 'Re4 Hg2 Se2'
_symmetry_space_group_name_H-M 'I -4 m 2'
_symmetry_Int_Tables_number 119
_symmetry_space_group_name_Hall 'I -4 -2'
_cell_length_a 4.302
_cell_length_b 4.302
_cell_length_c 7.393
_cell_angle_alpha 90.00
_cell_angle_beta 90.00
_cell_angle_gamma 90.00
loop_
_atom_site_label
_atom_site_type_symbol
_atom_site_fract_x
_atom_site_fract_y
_atom_site_fract_z
Re1 Re 0.000 0.000 0.000
Re2 Re 0.000 0.500 0.250
Hg1 Hg 0.000 0.000 0.500
Se1 Se 0.000 0.500 0.750

[10]
# CaZnGaAs2 PBE relaxed
# Crystal system: tetragonal
# DFT formation energy (eV/atom): 0.67
# Spin magnetization (μB per atom): 0.000
# Calculated density (g/cm3): 3.27
data_CaZnGaAs2
_chemical_formula_sum 'Ca1 Zn1 Ga1 As2'
_symmetry_space_group_name_H-M 'P 4/m m m'
_symmetry_Int_Tables_number 123
_symmetry_space_group_name_Hall '-P 4 2'
_cell_length_a 5.375
_cell_length_b 5.375
_cell_length_c 5.716
_cell_angle_alpha 90.00
_cell_angle_beta 90.00
_cell_angle_gamma 90.00
loop_
_atom_site_label
_atom_site_type_symbol
_atom_site_fract_x
_atom_site_fract_y
_atom_site_fract_z
Ca1 Ca 0.000 0.000 0.000
Zn1 Zn 0.500 0.500 0.500
Ga1 Ga 0.000 0.000 0.500
As1 As 0.000 0.500 0.000

[11]
# Li2Mg4Tl3 PBE relaxed
# Crystal system: triclinic
# DFT formation energy (eV/atom): -0.09
# Spin magnetization (μB per atom): 0.000
# Calculated density (g/cm3): 5.85
data_Li2Mg4Tl3
_chemical_formula_sum 'Li2 Mg4 Tl3'
_symmetry_space_group_name_H-M 'P -1'
_symmetry_Int_Tables_number 2
_symmetry_space_group_name_Hall '-P 1'
_cell_length_a 4.508
_cell_length_b 5.600
_cell_length_c 9.361
_cell_angle_alpha 73.00
_cell_angle_beta 89.46
_cell_angle_gamma 66.43
loop_
_atom_site_label
_atom_site_type_symbol
_atom_site_fract_x
_atom_site_fract_y
_atom_site_fract_z
Li1 Li 0.170 0.159 0.230
Mg1 Mg 0.164 0.174 0.897
Mg2 Mg 0.493 0.516 0.666
Tl1 Tl 0.168 0.163 0.576
Tl2 Tl 0.500 0.500 0.000

[12]
# K5SiSe4 PBE relaxed
# Crystal system: orthorhombic
# Uncorrected formation energy (eV/atom): -0.91
# Spin magnetization (μB per atom): 0.000
# Calculated density (g/cm3): 2.35
data_K5SiSe4
_chemical_formula_sum 'K10 Si2 Se8'
_symmetry_space_group_name_H-M 'P m m n'
_symmetry_Int_Tables_number 59
_cell_length_a 9.623
_cell_length_b 10.238
_cell_length_c 7.722
_cell_angle_alpha 90.00
_cell_angle_beta 90.00
_cell_angle_gamma 90.00
loop_
_symmetry_equiv_pos_as_xyz
'x,y,z'
'-x,-y,-z'
'-x+1/2,-y+1/2,z'
'x+1/2,y+1/2,-z'
'x+1/2,-y,-z'
'-x+1/2,y,z'
'-x,y+1/2,-z'
'x,-y+1/2,z'
loop_
_atom_site_label
_atom_site_type_symbol
_atom_site_fract_x
_atom_site_fract_y
_atom_site_fract_z
K1 K 0.005 0.057 0.236
K2 K 0.250 0.750 0.344
Si1 Si 0.250 0.250 0.711
Se1 Se 0.041 0.250 0.885
Se2 Se 0.250 0.056 0.533